Y4CdNiAg2 | PBE | relaxed

Total magnetization (Bohr magnetons per cell): 0.00
Crystal system: trigonal
Density (g/cm³): 6.53
N(E_F) (states/eV per cell): 4.99
Energy relative to the elements (eV per formula unit): -2.666
E_tot (eV per atom): -5.1152

abc: 5.122 5.122 8.815
angles: 73.11 73.11 60.00
Atoms (fractional coordinates):
Y: 0.616 0.616 0.152
Y: 0.384 0.384 0.848
Y: 0.132 0.132 0.605
Y: 0.868 0.868 0.395
Ag: 0.257 0.257 0.229
Ag: 0.743 0.743 0.771
Ni: 0.500 0.500 0.500
Cd: 0.000 0.000 0.000